1.
Entry from the Alexandria database: Ba2YTcO6 after structural relaxation (PBE).

The structure in extended XYZ format:
```
20
Lattice="3.0244 1.7462 10.0955 -3.0244 1.7462 10.0955 0.0000 -3.4923 10.0955" Properties=species:S:1:pos:R:3 pbc="T T T"
Ba 0.0000 0.0000 4.0910
Ba 0.0000 0.0000 8.4957
Ba 0.0000 0.0000 21.7908
Ba 0.0000 0.0000 26.1954
Y 0.0000 0.0000 12.2907
Y 0.0000 0.0000 17.9958
Tc 0.0000 0.0000 0.0000
Tc 0.0000 0.0000 15.1432
O -1.4100 -0.8140 13.9569
O 0.0000 -1.8867 11.2273
O -1.6339 0.9433 11.2273
O -1.6339 -0.9433 19.0591
O 0.0000 -1.6281 16.3295
O -1.4100 0.8140 16.3295
O 1.4100 -0.8140 13.9570
O 0.0000 1.6281 13.9570
O 1.6339 0.9433 11.2273
O 1.6339 -0.9433 19.0591
O 0.0000 1.8867 19.0591
O 1.4100 0.8140 16.3295
```

- Raw formation energy: -2.4790 eV/atom
- N(E_F): 8.7 states/eV per cell


2.
Entry from the Alexandria database: Ba2ZnTcO6 after structural relaxation (PBE).

The structure in extended XYZ format:
```
20
Lattice="2.9322 1.6929 9.5908 -2.9322 1.6929 9.5908 0.0000 -3.3859 9.5908" Properties=species:S:1:pos:R:3 pbc="T T T"
Ba 0.0000 0.0000 3.6870
Ba 0.0000 0.0000 8.1448
Ba 0.0000 0.0000 20.6275
Ba 0.0000 0.0000 25.0853
Zn 0.0000 0.0000 11.6336
Zn 0.0000 0.0000 17.1387
Tc 0.0000 0.0000 0.0000
Tc 0.0000 0.0000 14.3862
O -1.3631 -0.7870 13.2422
O 0.0000 -1.7964 10.7113
O -1.5557 0.8982 10.7113
O -1.5557 -0.8982 18.0610
O 0.0000 -1.5739 15.5301
O -1.3631 0.7870 15.5301
O 1.3631 -0.7870 13.2423
O 0.0000 1.5739 13.2423
O 1.5557 0.8982 10.7113
O 1.5557 -0.8982 18.0610
O 0.0000 1.7964 18.0610
O 1.3631 0.7870 15.5301
```

- Raw formation energy: -1.9959 eV/atom
- N(E_F): 8.4 states/eV per cell


3.
Entry from the Alexandria database: BaZnTc2O8 after structural relaxation (PBE).

The structure in extended XYZ format:
```
12
Lattice="4.3770 -2.9591 0.0000 4.3770 2.9591 0.0000 -0.5635 0.0000 7.8498" Properties=species:S:1:pos:R:3 pbc="T T T"
Ba 0.0000 0.0000 0.0000
Zn -0.2818 0.0000 3.9249
Tc 2.8803 0.0000 5.5971
Tc 5.3103 0.0000 2.2527
O 3.8558 1.5153 5.4951
O 1.7317 0.0000 4.2518
O 4.3348 1.5153 2.3547
O 2.1522 0.0000 7.2307
O 6.0384 0.0000 0.6191
O 3.8558 -1.5153 5.4951
O 6.4588 0.0000 3.5980
O 4.3348 -1.5153 2.3547
```

- Raw formation energy: -1.6398 eV/atom
- N(E_F): 7.8 states/eV per cell


4.
Entry from the Alexandria database: BaZnTc2O after structural relaxation (PBE).

The structure in extended XYZ format:
```
5
Lattice="5.6673 0.0000 0.0000 0.0000 5.6673 0.0000 0.0000 0.0000 4.6104" Properties=species:S:1:pos:R:3 pbc="T T T"
Ba 0.0000 0.0000 0.0000
Zn 2.8337 2.8337 2.3052
Tc 0.0000 2.8337 0.0000
Tc 2.8337 0.0000 0.0000
O 0.0000 0.0000 2.3052
```

- Raw formation energy: 1.9313 eV/atom
- N(E_F): 5.5 states/eV per cell


Copy entry 4 word for word.
Entry from the Alexandria database: BaZnTc2O after structural relaxation (PBE).

The structure in extended XYZ format:
```
5
Lattice="5.6673 0.0000 0.0000 0.0000 5.6673 0.0000 0.0000 0.0000 4.6104" Properties=species:S:1:pos:R:3 pbc="T T T"
Ba 0.0000 0.0000 0.0000
Zn 2.8337 2.8337 2.3052
Tc 0.0000 2.8337 0.0000
Tc 2.8337 0.0000 0.0000
O 0.0000 0.0000 2.3052
```

- Raw formation energy: 1.9313 eV/atom
- N(E_F): 5.5 states/eV per cell


Repeat the third record exactly.
Entry from the Alexandria database: BaZnTc2O8 after structural relaxation (PBE).

The structure in extended XYZ format:
```
12
Lattice="4.3770 -2.9591 0.0000 4.3770 2.9591 0.0000 -0.5635 0.0000 7.8498" Properties=species:S:1:pos:R:3 pbc="T T T"
Ba 0.0000 0.0000 0.0000
Zn -0.2818 0.0000 3.9249
Tc 2.8803 0.0000 5.5971
Tc 5.3103 0.0000 2.2527
O 3.8558 1.5153 5.4951
O 1.7317 0.0000 4.2518
O 4.3348 1.5153 2.3547
O 2.1522 0.0000 7.2307
O 6.0384 0.0000 0.6191
O 3.8558 -1.5153 5.4951
O 6.4588 0.0000 3.5980
O 4.3348 -1.5153 2.3547
```

- Raw formation energy: -1.6398 eV/atom
- N(E_F): 7.8 states/eV per cell